{"formula": "Y3SbS", "functional": "PBE", "state": "optimized geometry", "e_form_raw_ev_per_atom": -1.107, "dos_ef_per_ev_cell": 7.57, "relative_energy_mev_per_atom": 189.0, "spacegroup": "Cmcm", "cell": [[2.9475, -8.3062, 0.0000], [2.9475, 8.3062, 0.0000], [0.0000, 0.0000, 5.8763]], "species": ["Y", "Y", "Y", "Y", "Y", "Y", "Sb", "Sb", "S", "S"], "frac_coords": [[0.0865, 0.9135, 0.7500], [0.2404, 0.7596, 0.2500], [0.4017, 0.5983, 0.7500], [0.5983, 0.4017, 0.2500], [0.7596, 0.2404, 0.7500], [0.9135, 0.0865, 0.2500], [0.4179, 0.5821, 0.2500], [0.5821, 0.4179, 0.7500], [0.0798, 0.9202, 0.2500], [0.9202, 0.0798, 0.7500]]}